Entry A
First-principles (PBE-GGA) data for a geometry-optimized AcNdAu structure, as listed in Alexandria.

The magnetization comes out at 0.000 μB per cell.

It has space group P3m1 (No. 156), with a = 5.0575 Å, b = 5.0575 Å, c = 4.5103 Å, α = 90.00°, β = 90.00° and γ = 120.00°. Symmetry generates all atoms from Ac at (0.0000, 0.0000, 0.0000), Nd at (0.3333, 0.6667, 0.4893) and Au at (0.6667, 0.3333, 0.5767).



Entry B
First-principles (PBE-GGA) data for a geometry-optimized AcNdAu structure, as listed in Alexandria.

The magnetization comes out at 0.829 μB per cell.

It has space group I4mm (No. 107), with a = 3.841 Å, b = 3.841 Å, c = 13.146 Å, α = 90.00°, β = 90.00° and γ = 90.00°. Symmetry generates all atoms from Ac at (0.000, 0.000, 0.000), Nd at (0.000, 0.000, 0.282) and Au at (0.000, 0.000, 0.657).



The relative energies come out as entry A 107; entry B 0, with values in meV per atom.



Entry A
First-principles (PBE-GGA) data for a geometry-optimized AcNdAu structure, as listed in Alexandria.

The magnetization comes out at 0.000 μB per cell.

It has space group P4/nmm (No. 129, origin choice 2), with a = 5.045 Å, b = 5.045 Å, c = 7.797 Å, α = 90.00°, β = 90.00° and γ = 90.00°. Symmetry generates all atoms from Ac at (0.250, 0.250, 0.122), Nd at (0.250, 0.750, 0.500) and Au at (0.250, 0.250, 0.728).



Entry B
First-principles (PBE-GGA) data for a geometry-optimized AcNdAu structure, as listed in Alexandria.

The magnetization comes out at 0.000 μB per cell.

It has space group P2_1/m (No. 11), with a = 8.529 Å, b = 5.215 Å, c = 13.108 Å, α = 90.00°, β = 91.44° and γ = 90.00°. Symmetry generates all atoms from Ac at (0.029, 0.250, 0.227), Ac at (0.357, 0.750, 0.583), Ac at (0.464, 0.750, 0.884), Nd at (0.043, 0.250, 0.580), Nd at (0.138, 0.250, 0.949), Nd at (0.346, 0.750, 0.282), Au at (0.219, 0.750, 0.064), Au at (0.274, 0.250, 0.407) and Au at (0.300, 0.250, 0.747).



The relative energies come out as entry A 19; entry B 0, with values in meV per atom.



Entry A
First-principles (PBE-GGA) data for a geometry-optimized AcNdAu structure, as listed in Alexandria.

The magnetization comes out at 1.195 μB per cell.

It has space group F-43m (No. 216), with a = 7.496 Å, b = 7.496 Å, c = 7.496 Å, α = 90.00°, β = 90.00° and γ = 90.00°. Symmetry generates all atoms from Ac at (0.000, 0.000, 0.000), Nd at (0.000, 0.000, 0.500) and Au at (0.250, 0.250, 0.250).



Entry B
First-principles (PBE-GGA) data for a geometry-optimized AcNdAu structure, as listed in Alexandria.

The magnetization comes out at 0.000 μB per cell.

It has space group R-3m (No. 166, hexagonal axes), with a = 4.6627 Å, b = 4.6627 Å, c = 35.2545 Å, α = 90.00°, β = 90.00° and γ = 120.00°. Symmetry generates all atoms from Ac at (0.0000, 0.0000, 0.2071), Nd at (0.0000, 0.0000, 0.0474) and Au at (0.0000, 0.0000, 0.3292).



The relative energies come out as entry A 0; entry B 118, with values in meV per atom.



Entry A
First-principles (PBE-GGA) data for a geometry-optimized AcNdAu4 structure, as listed in Alexandria.

The magnetization comes out at 0.000 μB per cell.

It has space group F-43m (No. 216), with a = 8.267 Å, b = 8.267 Å, c = 8.267 Å, α = 90.00°, β = 90.00° and γ = 90.00°. Symmetry generates all atoms from Ac at (0.000, 0.000, 0.000), Nd at (0.250, 0.250, 0.750) and Au at (0.124, 0.124, 0.376).



Entry B
First-principles (PBE-GGA) data for a geometry-optimized AcNdAu4 structure, as listed in Alexandria.

The magnetization comes out at 0.000 μB per cell.

It has space group Pmmm (No. 47), with a = 3.802 Å, b = 4.922 Å, c = 8.106 Å, α = 90.00°, β = 90.00° and γ = 90.00°. Symmetry generates all atoms from Ac at (0.000, 0.000, 0.000), Nd at (0.000, 0.500, 0.500), Au at (0.500, 0.000, 0.332) and Au at (0.500, 0.500, 0.174).



Entry C
First-principles (PBE-GGA) data for a geometry-optimized AcNdAu4 structure, as listed in Alexandria.

The magnetization comes out at 0.000 μB per cell.

It has space group C2/m (No. 12), with a = 4.809 Å, b = 8.348 Å, c = 7.514 Å, α = 90.00°, β = 90.12° and γ = 90.00°. Symmetry generates all atoms from Ac at (0.000, 0.000, 0.000), Nd at (0.000, 0.000, 0.500) and Au at (0.000, 0.334, 0.270).



The relative energies come out as entry A 295; entry B 0; entry C 18, with values in meV per atom.



Entry A
First-principles (PBE-GGA) data for a geometry-optimized AcNd2Au6 structure, as listed in Alexandria.

The magnetization comes out at 0.000 μB per cell.

It has space group P6/mmm (No. 191), with a = 8.2932 Å, b = 8.2932 Å, c = 3.7305 Å, α = 90.00°, β = 90.00° and γ = 120.00°. Symmetry generates all atoms from Ac at (0.0000, 0.0000, 0.0000), Nd at (0.3333, 0.6667, 0.0000) and Au at (0.0000, 0.3354, 0.5000).



Entry B
First-principles (PBE-GGA) data for a geometry-optimized AcNd2Au6 structure, as listed in Alexandria.

The magnetization comes out at 0.000 μB per cell.

It has space group Immm (No. 71), with a = 3.958 Å, b = 7.777 Å, c = 14.818 Å, α = 90.00°, β = 90.00° and γ = 90.00°. Symmetry generates all atoms from Ac at (0.000, 0.000, 0.000), Nd at (0.000, 0.500, 0.141), Au at (0.000, 0.181, 0.500) and Au at (0.000, 0.309, 0.322).



The relative energies come out as entry A 0; entry B 33, with values in meV per atom.



Entry A
First-principles (PBE-GGA) data for a geometry-optimized AcNd2Au3 structure, as listed in Alexandria.

The magnetization comes out at 0.000 μB per cell.

It has space group C2/m (No. 12), with a = 5.369 Å, b = 16.112 Å, c = 7.513 Å, α = 90.00°, β = 90.07° and γ = 90.00°. Symmetry generates all atoms from Ac at (0.000, 0.165, 0.000), Nd at (0.000, 0.168, 0.500), Nd at (0.000, 0.500, 0.000), Nd at (0.000, 0.500, 0.500), Au at (0.000, 0.000, 0.264) and Au at (0.000, 0.338, 0.266).



Entry B
First-principles (PBE-GGA) data for a geometry-optimized AcNd2Au3 structure, as listed in Alexandria.

The magnetization comes out at 0.000 μB per cell.

It has space group P4/mmm (No. 123), with a = 3.778 Å, b = 3.778 Å, c = 11.357 Å, α = 90.00°, β = 90.00° and γ = 90.00°. Symmetry generates all atoms from Ac at (0.000, 0.000, 0.000), Nd at (0.000, 0.000, 0.338), Au at (0.500, 0.500, 0.184) and Au at (0.500, 0.500, 0.500).



The relative energies come out as entry A 6; entry B 0, with values in meV per atom.